Record 1
DFT (GGA-PBE) results for a relaxed VCuGe2 crystal.

Lattice parameters (Å, degrees): 3.336 4.149 4.149 90.00 90.00 90.00
Positions (direct):
1 Ge 0.000 0.000 0.500
2 Ge 0.000 0.500 0.000
3 Cu 0.500 0.000 0.000
4 V 0.500 0.500 0.500

Values from the calculation:
Density of states at the Fermi level in states/eV/cell: 3.13
Formation energy in eV/f.u.: 0.249
ρ in g cm⁻³: 7.5
Space group: No. 123
Total magnetic moment in μB/cell: 0.00


Record 2
DFT (GGA-PBE) results for a relaxed NaAgGeTe3 crystal.

Lattice parameters (Å, degrees): 4.127 9.066 11.940 123.46 90.00 90.00
Positions (direct):
1 Na 0.250 0.257 0.258
2 Na 0.750 0.743 0.742
3 Ag 0.250 0.785 0.137
4 Ag 0.750 0.215 0.863
5 Ge 0.250 0.138 0.525
6 Ge 0.750 0.862 0.475
7 Te 0.750 0.913 0.062
8 Te 0.250 0.087 0.938
9 Te 0.250 0.668 0.493
10 Te 0.750 0.332 0.507
11 Te 0.750 0.648 0.201
12 Te 0.250 0.352 0.799

Values from the calculation:
Density of states at the Fermi level in states/eV/cell: 3.50
ρ in g cm⁻³: 5.2
Space group: No. 11
Final energy in eV/atom: -3.2716
Total magnetic moment in μB/cell: 0.00


Record 3
DFT (GGA-PBE) results for a relaxed Sc3AlAg crystal.

Lattice parameters (Å, degrees): 5.117 5.117 5.117 90.00 90.00 90.00
Positions (direct):
1 Sc 0.000 0.500 0.000
2 Sc 0.000 0.000 0.500
3 Sc 0.500 0.000 0.000
4 Al 0.500 0.500 0.500
5 Ag 0.000 0.000 0.000

Values from the calculation:
Density of states at the Fermi level in states/eV/cell: 9.73
Formation energy in eV/f.u.: 2.031
Polymorph energy (0 for the lowest one) in eV per atom: 0.668
ρ in g cm⁻³: 3.3
Space group: No. 221
Total magnetic moment in μB/cell: 0.00


density of states at the Fermi level of number 1 (VCuGe2)? 3.13 states/eV/cell